[1]
Material: CaYP3
Method: DFT, PBE-GGA
State: optimized geometry

Unit cell a=5.2103 b=5.2103 c=5.2103 alpha=90.00 beta=90.00 gamma=90.00
Last column: nearest neighbours and their distance in Å.
Fractional coordinates of all 5 atoms:
Ca  0.0000  0.0000  0.0000  12 P 3.68
Y  0.5000  0.5000  0.5000  6 P 2.61
P  0.0000  0.5000  0.5000  2 Y 2.61
P  0.5000  0.0000  0.5000  2 Y 2.61
P  0.5000  0.5000  0.0000  2 Y 2.61

Symmetry: No. 221

***

[2]
Material: Ca3YP
Method: DFT, PBE-GGA
State: optimized geometry

Unit cell a=5.5942 b=5.5942 c=5.5942 alpha=90.00 beta=90.00 gamma=90.00
Last column: nearest neighbours and their distance in Å.
Fractional coordinates of all 5 atoms:
Ca  0.0000  0.0000  0.5000  2 P 2.80
Ca  0.0000  0.5000  0.0000  2 P 2.80
Ca  0.5000  0.0000  0.0000  2 P 2.80
Y  0.5000  0.5000  0.5000  12 Ca 3.96
P  0.0000  0.0000  0.0000  6 Ca 2.80

Symmetry: No. 221

***

[3]
Material: CaYP2
Method: DFT, PBE-GGA
State: optimized geometry

Unit cell a=5.0426 b=5.0426 c=3.5460 alpha=98.48 beta=98.48 gamma=92.95
Last column: nearest neighbours and their distance in Å.
Fractional coordinates of all 4 atoms:
Ca  0.0000  0.0000  0.0000  4 P 2.86
Y  0.5000  0.5000  0.0000  4 P 2.86
P  0.0000  0.5000  0.5000  2 Ca 2.86, 2 Y 2.86
P  0.5000  0.0000  0.5000  2 Ca 2.86, 2 Y 2.86

Symmetry: No. 12

***

[4]
Material: CaYP2
Method: DFT, PBE-GGA
State: optimized geometry

Unit cell a=3.6507 b=4.4270 c=5.4275 alpha=90.00 beta=90.00 gamma=90.00
Last column: nearest neighbours and their distance in Å.
Fractional coordinates of all 4 atoms:
Ca  0.0000  0.0000  0.0000  4 P 2.87
Y  0.0000  0.5000  0.5000  4 P 2.87
P  0.5000  0.0000  0.5000  4 Y 2.87
P  0.5000  0.5000  0.0000  4 Ca 2.87

Symmetry: No. 47

***

[5]
Material: CaYP3
Method: DFT, PBE-GGA
State: optimized geometry

Unit cell a=5.0125 b=5.0125 c=5.0125 alpha=90.00 beta=90.00 gamma=90.00
Last column: nearest neighbours and their distance in Å.
Fractional coordinates of all 5 atoms:
Ca  0.0000  0.0000  0.0000  6 P 2.51
Y  0.5000  0.5000  0.5000  12 P 3.54
P  0.0000  0.0000  0.5000  2 Ca 2.51
P  0.0000  0.5000  0.0000  2 Ca 2.51
P  0.5000  0.0000  0.0000  2 Ca 2.51

Symmetry: No. 221

***

[6]
Material: CaYP2
Method: DFT, PBE-GGA
State: optimized geometry

Unit cell a=4.9486 b=4.9486 c=4.9486 alpha=60.00 beta=60.00 gamma=60.00
Last column: nearest neighbours and their distance in Å.
Fractional coordinates of all 4 atoms:
Ca  0.0000  0.0000  0.0000  8 P 3.03
Y  0.5000  0.5000  0.5000  8 P 3.03
P  0.2500  0.2500  0.2500  4 Y 3.03, 4 Ca 3.03
P  0.7500  0.7500  0.7500  4 Y 3.03, 4 Ca 3.03

Symmetry: No. 225

***

[7]
Material: Ca2ZnP
Method: DFT, PBE-GGA
State: optimized geometry

Unit cell a=4.8186 b=4.8186 c=3.9247 alpha=90.00 beta=90.00 gamma=90.00
Last column: nearest neighbours and their distance in Å.
Fractional coordinates of all 4 atoms:
Ca  0.0000  0.5000  0.0000  4 Zn 3.11, 4 P 3.11, 4 Ca 3.41
Ca  0.5000  0.0000  0.0000  4 Zn 3.11, 4 P 3.11, 4 Ca 3.41
Zn  0.0000  0.0000  0.5000  8 Ca 3.11, 4 P 3.41
P  0.5000  0.5000  0.5000  8 Ca 3.11, 4 Zn 3.41

Symmetry: No. 123

***

[8]
Material: CaZnP4
Method: DFT, PBE-GGA
State: optimized geometry

Unit cell a=5.3701 b=5.3701 c=5.3701 alpha=60.00 beta=60.00 gamma=60.00
Last column: nearest neighbours and their distance in Å.
Fractional coordinates of all 6 atoms:
Ca  0.0000  0.0000  0.0000  12 P 3.18, 4 Zn 3.29
Zn  0.2500  0.2500  0.2500  12 P 3.12, 4 Ca 3.29
P  0.1640  0.6120  0.6120  3 P 2.41
P  0.6120  0.1640  0.6120  3 P 2.41
P  0.6120  0.6120  0.1640  3 P 2.41
P  0.6120  0.6120  0.6120  3 P 2.41

Symmetry: No. 216

***

[9]
Material: CaZnP
Method: DFT, PBE-GGA
State: optimized geometry

Unit cell a=4.6024 b=4.6024 c=4.6024 alpha=60.00 beta=60.00 gamma=60.00
Last column: nearest neighbours and their distance in Å.
Fractional coordinates of all 3 atoms:
Ca  0.0000  0.0000  0.0000  4 P 2.82
Zn  0.5000  0.5000  0.5000  4 P 2.82
P  0.2500  0.2500  0.2500  4 Ca 2.82, 4 Zn 2.82

Symmetry: No. 216

***

[10]
Material: Ca8Zn2P
Method: DFT, PBE-GGA
State: optimized geometry

Unit cell a=11.6355 b=11.6355 c=7.8386 alpha=90.43 beta=90.43 gamma=20.91
Last column: nearest neighbours and their distance in Å.
Fractional coordinates of all 11 atoms:
Ca  0.0098  0.0098  0.2614  2 P 2.83
Ca  0.2357  0.2357  0.7926  2 Zn 3.15
Ca  0.3754  0.3754  0.5173  1 P 2.86, 2 Zn 3.17
Ca  0.3904  0.3904  0.0248  2 Zn 3.01
Ca  0.6096  0.6096  0.9752  2 Zn 3.01
Ca  0.6246  0.6246  0.4827  1 P 2.86, 2 Zn 3.17
Ca  0.7643  0.7643  0.2074  2 Zn 3.15
Ca  0.9902  0.9902  0.7386  2 P 2.83
Zn  0.1623  0.1623  0.2035  6 Ca 3.01-3.17
Zn  0.8377  0.8377  0.7965  6 Ca 3.01-3.17
P  0.5000  0.5000  0.5000  6 Ca 2.83-2.86

Symmetry: No. 12

***

[11]
Material: CaZnP
Method: DFT, PBE-GGA
State: optimized geometry

Unit cell a=4.6787 b=4.6787 c=4.6787 alpha=60.00 beta=60.00 gamma=60.00
Last column: nearest neighbours and their distance in Å.
Fractional coordinates of all 3 atoms:
Ca  0.0000  0.0000  0.0000  4 Zn 2.87, 4 P 2.87
Zn  0.7500  0.7500  0.7500  4 Ca 2.87
P  0.2500  0.2500  0.2500  4 Ca 2.87

Symmetry: No. 216

***

[12]
Material: CaZn2P
Method: DFT, PBE-GGA
State: optimized geometry

Unit cell a=6.2063 b=6.2063 c=3.0702 alpha=104.31 beta=104.31 gamma=126.45
Last column: nearest neighbours and their distance in Å.
Fractional coordinates of all 4 atoms:
Ca  0.0000  0.0000  0.0000  4 P 2.80, 2 Ca 3.07, 4 Zn 3.10
Zn  0.0000  0.5000  0.0000  6 Zn 2.80-3.07, 2 Ca 3.10, 2 P 3.10
Zn  0.5000  0.0000  0.0000  6 Zn 2.80-3.07, 2 Ca 3.10, 2 P 3.10
P  0.5000  0.5000  0.0000  4 Ca 2.80, 2 P 3.07, 4 Zn 3.10

Symmetry: No. 12

***

[13]
Material: CaZn2P
Method: DFT, PBE-GGA
State: optimized geometry

Unit cell a=5.1975 b=5.1975 c=5.1975 alpha=131.36 beta=131.36 gamma=71.24
Last column: nearest neighbours and their distance in Å.
Fractional coordinates of all 4 atoms:
Ca  0.0000  0.0000  0.0000  8 Zn 3.01-3.03, 4 P 3.01
Zn  0.5000  0.5000  0.0000  4 Zn 3.01, 4 P 3.01, 4 Ca 3.03
Zn  0.7500  0.2500  0.5000  4 Zn 3.01, 4 Ca 3.01, 4 P 3.03
P  0.2500  0.7500  0.5000  8 Zn 3.01-3.03, 4 Ca 3.01

Symmetry: No. 119

***

[14]
Material: Ca3ZnP
Method: DFT, PBE-GGA
State: optimized geometry

Unit cell a=5.4752 b=5.4752 c=5.4752 alpha=90.00 beta=90.00 gamma=90.00
Last column: nearest neighbours and their distance in Å.
Fractional coordinates of all 5 atoms:
Ca  0.0000  0.0000  0.5000  2 P 2.74
Ca  0.0000  0.5000  0.0000  2 P 2.74
Ca  0.5000  0.0000  0.0000  2 P 2.74
Zn  0.5000  0.5000  0.5000  12 Ca 3.87
P  0.0000  0.0000  0.0000  6 Ca 2.74

Symmetry: No. 221

***

[15]
Material: CaZn2P
Method: DFT, PBE-GGA
State: optimized geometry

Unit cell a=4.5435 b=3.2590 c=5.6951 alpha=90.00 beta=107.59 gamma=90.00
Last column: nearest neighbours and their distance in Å.
Fractional coordinates of all 4 atoms:
Ca  0.0000  0.0000  0.0000  4 P 2.80, 2 Zn 3.06
Zn  0.0000  0.5000  0.5000  4 Zn 2.80, 2 P 3.06
Zn  0.5000  0.0000  0.5000  4 Zn 2.80, 2 Ca 3.06
P  0.5000  0.5000  0.0000  4 Ca 2.80, 2 Zn 3.06

Symmetry: No. 10

***

[16]
Material: CaZnP
Method: DFT, PBE-GGA
State: optimized geometry

Unit cell a=5.3359 b=5.3359 c=6.6404 alpha=101.54 beta=101.54 gamma=44.26
Last column: nearest neighbours and their distance in Å.
Fractional coordinates of all 6 atoms:
Ca  0.0000  0.0000  0.0000  4 P 2.82-3.09, 4 Zn 2.99-3.14
Ca  0.6893  0.6893  0.6702  2 Zn 2.83-3.08, 5 P 2.91-3.12
Zn  0.4687  0.4687  0.3195  3 P 2.46-2.49
Zn  0.7272  0.7272  0.2222  3 P 2.62-2.64, 1 Zn 2.77
P  0.2851  0.2851  0.9964  3 Zn 2.49-2.64
P  0.9469  0.9469  0.5239  3 Zn 2.46-2.62

Symmetry: No. 8

***

[17]
Material: CaZn2P
Method: DFT, PBE-GGA
State: optimized geometry

Unit cell a=4.0083 b=4.0083 c=6.3456 alpha=108.20 beta=108.20 gamma=59.83
Last column: nearest neighbours and their distance in Å.
Fractional coordinates of all 4 atoms:
Ca  0.0000  0.0000  0.0000  3 P 2.92, 3 Zn 3.05
Zn  0.5191  0.5191  0.5540  3 P 2.46-2.47, 3 Zn 2.64-2.66
Zn  0.7780  0.7780  0.3353  3 Zn 2.64-2.66
P  0.2345  0.2345  0.6988  3 Zn 2.46-2.47

Symmetry: No. 8

***

[18]
Material: CaZn2P
Method: DFT, PBE-GGA
State: optimized geometry

Unit cell a=6.1642 b=6.1642 c=6.1642 alpha=101.57 beta=101.57 gamma=126.79
Last column: nearest neighbours and their distance in Å.
Fractional coordinates of all 8 atoms:
Ca  0.0000  0.0000  0.0000  2 P 2.76
Ca  0.7500  0.2500  0.5000  2 P 2.76
Zn  0.1960  0.6250  0.0710  2 P 2.49
Zn  0.3750  0.4460  0.5710  2 P 2.49
Zn  0.5540  0.1250  0.9290  2 P 2.49
Zn  0.8750  0.8040  0.4290  2 P 2.49
P  0.2500  0.7500  0.5000  4 Zn 2.49, 2 Ca 2.76
P  0.5000  0.5000  0.0000  4 Zn 2.49, 2 Ca 2.76

Symmetry: No. 122

***

[19]
Material: CaZn2P
Method: DFT, PBE-GGA
State: optimized geometry

Unit cell a=4.2202 b=4.2746 c=4.7741 alpha=90.00 beta=99.07 gamma=90.00
Last column: nearest neighbours and their distance in Å.
Fractional coordinates of all 4 atoms:
Ca  0.0000  0.0000  0.0000  2 P 2.93, 4 Zn 3.11
Zn  0.4081  0.5000  0.7438  2 Zn 2.45-2.57, 2 P 2.49
Zn  0.5919  0.5000  0.2562  2 Zn 2.45-2.57, 2 P 2.49
P  0.5000  0.0000  0.5000  4 Zn 2.49

Symmetry: No. 10

***

[20]
Material: CaZn2P
Method: DFT, PBE-GGA
State: optimized geometry

Unit cell a=5.0141 b=5.0141 c=5.0141 alpha=131.76 beta=107.79 gamma=91.63
Last column: nearest neighbours and their distance in Å.
Fractional coordinates of all 4 atoms:
Ca  0.0000  0.0000  0.0000  4 P 2.96-3.25, 4 Zn 2.99-3.24
Zn  0.4805  0.4805  0.0000  2 P 2.38, 2 Zn 2.52
Zn  0.6893  0.1893  0.5000  2 Zn 2.52, 1 P 2.68
P  0.3061  0.8061  0.5000  2 Zn 2.38

Symmetry: No. 44

***

Computed E_form, in the same sequence as the records: -1.9; -6.7; -21.6; -21.3; 7.4; -21.1; -14.1; 1.1; -9.1; -6.7; -2.9; -3.2; -3.1; -10.6; -3.6; -15.5; -8.4; -5.8; -7.8; -6.1 kcal/mol of atoms.
Computed calculated volume, in the same sequence as the records: 141; 175; 88; 88; 126; 86; 91; 110; 69; 379; 72; 80; 77; 164; 80; 64; 82; 84; 85; 85 Å³/f.u..
Computed VASP energy, in the same sequence as the records: -5.02; -3.86; -5.76; -5.75; -4.62; -5.74; -3.28; -4.11; -3.29; -2.47; -3.02; -2.63; -2.63; -3.00; -2.65; -3.57; -2.86; -2.74; -2.83; -2.76 eV/atom.